1.
Material: MgFe2MoPt
Method: DFT, PBE
State: relaxed

Cell: 4.442 4.956 4.442 Å, 90.00 90.00 90.00°
Site moments in Bohr magnetons follow the coordinates.
Sites, in units of the cell vectors:
Fe (0.000, 0.000, 0.500)  1.94
Fe (0.500, 0.000, 0.000)  1.76
Mo (0.000, 0.000, 0.000)  -0.36
Pt (0.000, 0.500, 0.000)  0.02
Mg (0.500, 0.500, 0.500)  -0.01

Formation energy = 995.2 meV/atom
SG = P4/mmm

2.
Material: SrMgFe2Mo
Method: DFT, PBE
State: relaxed

Cell: 4.532 5.206 4.532 Å, 90.00 90.00 90.00°
Sites, in units of the cell vectors:
Fe (0.000, 0.000, 0.500)
Fe (0.500, 0.000, 0.000)
Mg (0.000, 0.500, 0.000)
Mo (0.000, 0.000, 0.000)
Sr (0.500, 0.500, 0.500)

Formation energy = 941.2 meV/atom
SG = P4/mmm

3.
Material: MgFeN
Method: DFT, PBE
State: relaxed

Cell: 7.661 3.527 5.611 Å, 90.00 90.00 90.00°
Site moments in Bohr magnetons follow the coordinates.
Sites, in units of the cell vectors:
Fe (0.460, 0.750, 0.138)  0.56
Fe (0.040, 0.250, 0.638)  0.56
Fe (0.540, 0.250, 0.862)  0.56
Fe (0.960, 0.750, 0.362)  0.56
N (0.554, 0.750, 0.807)  0.03
N (0.054, 0.750, 0.693)  0.03
N (0.446, 0.250, 0.193)  0.03
N (0.946, 0.250, 0.307)  0.03
Mg (0.324, 0.750, 0.587)  -0.01
Mg (0.176, 0.250, 0.087)  -0.01
Mg (0.676, 0.250, 0.413)  -0.01
Mg (0.824, 0.750, 0.913)  -0.01

Polymorph energy (0 for the lowest one) = 0.0 kJ/mol of atoms
E_form (uncorrected) = -190 meV per atom
SG = Pnma

4.
Material: Mg2FeN
Method: DFT, PBE
State: relaxed

Cell: 8.319 8.319 6.141 Å, 47.37 47.37 90.00°
Sites, in units of the cell vectors:
N (0.250, 0.750, 0.500)
N (0.500, 0.500, 0.000)
Fe (0.000, 0.000, 0.000)
Fe (0.750, 0.250, 0.500)
Mg (0.375, 0.537, 0.750)
Mg (0.463, 0.125, 0.250)
Mg (0.287, 0.625, 0.250)
Mg (0.875, 0.713, 0.750)

E_form (uncorrected) = -80 meV per atom
SG = I-42d

5.
Material: MgFeN3
Method: DFT, PBE
State: relaxed

Cell: 3.792 3.792 3.792 Å, 90.00 90.00 90.00°
Sites, in units of the cell vectors:
N (0.500, 0.000, 0.000)
N (0.000, 0.500, 0.000)
N (0.000, 0.000, 0.500)
Mg (0.000, 0.000, 0.000)
Fe (0.500, 0.500, 0.500)

E_form (uncorrected) = 2283 meV per atom
SG = Pm-3m

6.
Material: MgFeN2
Method: DFT, PBE
State: relaxed

Cell: 5.935 5.935 5.935 Å, 31.26 31.26 31.26°
Site moments in Bohr magnetons follow the coordinates.
Sites, in units of the cell vectors:
N (0.901, 0.901, 0.901)  -0.10
N (0.099, 0.099, 0.099)  -0.10
Mg (0.500, 0.500, 0.500)  0.01
Fe (0.000, 0.000, 0.000)  1.54

E_form (uncorrected) = 448 meV per atom
SG = R-3m

7.
Material: Mg9Fe2N8
Method: DFT, PBE
State: relaxed

Cell: 8.290 4.332 7.015 Å, 90.00 72.86 74.86°
Site moments in Bohr magnetons follow the coordinates.
Sites, in units of the cell vectors:
Mg (0.342, 0.329, 0.568)  0.00
Mg (0.820, 0.590, 0.955)  0.01
Mg (0.000, 0.500, 0.500)  0.00
Mg (0.668, 0.166, 0.741)  0.01
Mg (0.085, 0.957, 0.786)  0.01
Mg (0.180, 0.410, 0.045)  0.01
Mg (0.332, 0.834, 0.259)  0.01
Mg (0.915, 0.043, 0.214)  0.01
Mg (0.658, 0.671, 0.432)  0.00
N (0.786, 0.107, 0.983)  0.11
N (0.926, 0.537, 0.252)  0.05
N (0.341, 0.330, 0.259)  0.07
N (0.214, 0.893, 0.017)  0.11
N (0.074, 0.463, 0.748)  0.05
N (0.359, 0.820, 0.582)  0.15
N (0.659, 0.670, 0.741)  0.07
N (0.641, 0.180, 0.418)  0.15
Fe (0.420, 0.790, 0.806)  2.27
Fe (0.580, 0.210, 0.194)  2.27

E_form (uncorrected) = -487 meV per atom
SG = C2/m

8.
Material: MgFeN
Method: DFT, PBE
State: relaxed

Cell: 3.342 3.342 6.853 Å, 90.00 90.00 90.00°
Sites, in units of the cell vectors:
N (0.500, 0.000, 0.641)
N (0.000, 0.500, 0.359)
Mg (0.500, 0.000, 0.163)
Mg (0.000, 0.500, 0.837)
Fe (0.000, 0.000, 0.500)
Fe (0.500, 0.500, 0.500)

Polymorph energy (0 for the lowest one) = 19.3 kJ/mol of atoms
E_form (uncorrected) = 10 meV per atom
SG = P4/nmm

9.
Material: MgFe5N4
Method: DFT, PBE
State: relaxed

Cell: 4.566 6.041 7.268 Å, 90.00 90.00 90.00°
Site moments in Bohr magnetons follow the coordinates.
Sites, in units of the cell vectors:
Fe (0.250, 0.716, 0.175)  2.00
Fe (0.250, 0.284, 0.175)  2.00
Fe (0.750, 0.784, 0.675)  2.00
Fe (0.750, 0.216, 0.675)  2.00
Fe (0.316, 0.500, 0.500)  -1.81
Fe (0.750, 0.784, 0.325)  2.00
Fe (0.750, 0.216, 0.325)  2.00
Fe (0.684, 0.000, 0.000)  -1.81
Fe (0.250, 0.716, 0.825)  2.00
Fe (0.250, 0.284, 0.825)  2.00
N (0.975, 0.784, 0.000)  0.00
N (0.543, 0.500, 0.275)  0.03
N (0.543, 0.500, 0.725)  0.03
N (0.457, 0.000, 0.225)  0.03
N (0.457, 0.000, 0.775)  0.03
N (0.025, 0.716, 0.500)  0.00
N (0.025, 0.284, 0.500)  0.00
N (0.975, 0.216, 0.000)  0.00
Mg (0.280, 0.000, 0.500)  0.00
Mg (0.720, 0.500, 0.000)  0.00

E_form (uncorrected) = -6 meV per atom
SG = Pmmn

10.
Material: MgFeN2
Method: DFT, PBE
State: relaxed

Cell: 4.512 4.512 5.441 Å, 65.50 65.50 90.00°
Sites, in units of the cell vectors:
Fe (0.000, 0.000, 0.000)
Fe (0.750, 0.250, 0.500)
N (0.069, 0.625, 0.250)
N (0.875, 0.931, 0.750)
N (0.681, 0.125, 0.250)
N (0.375, 0.319, 0.750)
Mg (0.500, 0.500, 0.000)
Mg (0.250, 0.750, 0.500)

E_form (uncorrected) = -254 meV per atom
SG = I-42d

11.
Material: MgFeN3
Method: DFT, PBE
State: relaxed

Cell: 3.660 3.660 3.660 Å, 90.00 90.00 90.00°
Sites, in units of the cell vectors:
N (0.000, 0.000, 0.500)
N (0.500, 0.000, 0.000)
N (0.000, 0.500, 0.000)
Mg (0.500, 0.500, 0.500)
Fe (0.000, 0.000, 0.000)

E_form (uncorrected) = 803 meV per atom
SG = Pm-3m

12.
Material: MgFeN2
Method: DFT, PBE
State: relaxed

Cell: 6.245 6.245 6.245 Å, 27.32 27.32 27.32°
Site moments in Bohr magnetons follow the coordinates.
Sites, in units of the cell vectors:
Fe (0.500, 0.500, 0.500)  2.01
Mg (0.000, 0.000, 0.000)  -0.01
N (0.111, 0.111, 0.111)  0.04
N (0.889, 0.889, 0.889)  0.04

E_form (uncorrected) = 325 meV per atom
SG = R-3m

Please write out number 9 again, unchanged.
Material: MgFe5N4
Method: DFT, PBE
State: relaxed

Cell: 4.566 6.041 7.268 Å, 90.00 90.00 90.00°
Site moments in Bohr magnetons follow the coordinates.
Sites, in units of the cell vectors:
Fe (0.250, 0.716, 0.175)  2.00
Fe (0.250, 0.284, 0.175)  2.00
Fe (0.750, 0.784, 0.675)  2.00
Fe (0.750, 0.216, 0.675)  2.00
Fe (0.316, 0.500, 0.500)  -1.81
Fe (0.750, 0.784, 0.325)  2.00
Fe (0.750, 0.216, 0.325)  2.00
Fe (0.684, 0.000, 0.000)  -1.81
Fe (0.250, 0.716, 0.825)  2.00
Fe (0.250, 0.284, 0.825)  2.00
N (0.975, 0.784, 0.000)  0.00
N (0.543, 0.500, 0.275)  0.03
N (0.543, 0.500, 0.725)  0.03
N (0.457, 0.000, 0.225)  0.03
N (0.457, 0.000, 0.775)  0.03
N (0.025, 0.716, 0.500)  0.00
N (0.025, 0.284, 0.500)  0.00
N (0.975, 0.216, 0.000)  0.00
Mg (0.280, 0.000, 0.500)  0.00
Mg (0.720, 0.500, 0.000)  0.00

E_form (uncorrected) = -6 meV per atom
SG = Pmmn

Copy entry 8 word for word.
Material: MgFeN
Method: DFT, PBE
State: relaxed

Cell: 3.342 3.342 6.853 Å, 90.00 90.00 90.00°
Sites, in units of the cell vectors:
N (0.500, 0.000, 0.641)
N (0.000, 0.500, 0.359)
Mg (0.500, 0.000, 0.163)
Mg (0.000, 0.500, 0.837)
Fe (0.000, 0.000, 0.500)
Fe (0.500, 0.500, 0.500)

Polymorph energy (0 for the lowest one) = 19.3 kJ/mol of atoms
E_form (uncorrected) = 10 meV per atom
SG = P4/nmm